Here is an optimized crystal structure of Ge3Te6As2 from the Alexandria database. Energies are from GGA-PBEsol.

a b c (Å): 19.8696 19.8696 19.8696
angles (deg): 11.89 11.89 11.89
Fractional positions:
Ge  0.0000  0.0000  0.0000
Ge  0.2747  0.2747  0.2747
Ge  0.7253  0.7253  0.7253
Te  0.0873  0.0873  0.0873
Te  0.1893  0.1893  0.1893
Te  0.3625  0.3625  0.3625
Te  0.6375  0.6375  0.6375
Te  0.8107  0.8107  0.8107
Te  0.9127  0.9127  0.9127
As  0.4513  0.4513  0.4513
As  0.5487  0.5487  0.5487

Space group: R-3m, No. 166

Here is an optimized crystal structure of KLiIr from the Alexandria database. Energies are from GGA-PBEsol.

a b c (Å): 2.8442 2.8442 8.1290
angles (deg): 90.00 90.00 120.00
Fractional positions:
K  0.0000  0.0000  0.0000
Li  0.3333  0.6667  0.5668
Ir  0.6667  0.3333  0.3213

Space group: P3m1, No. 156

Q: Which D(E_F) values were calculated for the entries above? A: 0.000, 0.745, in states/eV per atom.
Q: Which magnetic moment values were calculated for the entries above? A: 0.000, 0.000, in μB per atom.
Q: Which final energy values were calculated for the entries above? A: -4.255, -3.774, in eV/atom.